No. 1
KBaPrBr6 GGA-PBE relaxed; formation energy without anion corrections = -1.942 eV per atom; crystal system = trigonal
1.0
8.036 0.000 0.000
-4.018 6.960 0.000
0.000 0.000 13.605
K Ba Pr Br
2 2 2 12
Direct
0.333 0.667 0.250 K
0.667 0.333 0.750 K
0.000 0.000 0.000 Ba
0.000 0.000 0.500 Ba
0.333 0.667 0.750 Pr
0.667 0.333 0.250 Pr
0.036 0.363 0.628 Br
0.036 0.674 0.872 Br
0.326 0.363 0.872 Br
0.326 0.964 0.628 Br
0.363 0.036 0.128 Br
0.363 0.326 0.372 Br
0.637 0.674 0.628 Br
0.637 0.964 0.872 Br
0.674 0.036 0.372 Br
0.674 0.637 0.128 Br
0.964 0.326 0.128 Br
0.964 0.637 0.372 Br



No. 2
MgScP GGA-PBE relaxed; energy relative to the elements = -1.7 eV per formula unit; crystal system = cubic
1.0
0.000 3.075 3.075
3.075 0.000 3.075
3.075 3.075 0.000
Mg Sc P
1 1 1
Direct
0.000 0.000 0.000 Mg
0.500 0.500 0.500 Sc
0.250 0.250 0.250 P



No. 3
ZrPa2TiN6 GGA-PBE relaxed; formation energy without anion corrections = -1.509 eV per atom; crystal system = trigonal
1.0
2.842 1.641 4.796
-2.842 1.641 4.796
0.000 -3.282 4.796
Zr Pa Ti N
1 2 1 6
Direct
0.000 0.000 0.000 Zr
0.277 0.277 0.277 Pa
0.776 0.776 0.776 Pa
0.498 0.498 0.498 Ti
0.117 0.686 0.365 N
0.207 0.612 0.843 N
0.365 0.117 0.686 N
0.612 0.843 0.207 N
0.686 0.365 0.117 N
0.843 0.207 0.612 N



Computed calculated density (g/cm3) in order:
3.5; 2.9; 8.5